1.
A geometry-optimized Na5In2Hg4 structure, computed with PBE.

Cell: 5.3053 9.4837 6.3506 Å, 86.95 114.69 90.00°
Last column: nearest neighbours and their distance in Å.
Fractional coordinates of all 11 atoms:
1 Na 0.8560 0.4532 0.7120  5 Hg 3.21-3.57, 3 In 3.38-3.54, 2 Na 3.49-3.50
2 Na 0.1440 0.5468 0.2880  5 Hg 3.21-3.57, 3 In 3.38-3.54, 2 Na 3.49-3.50
3 Na 0.7891 0.0976 0.5781  4 Hg 3.11-3.26, 2 Na 3.39, 1 In 3.44
4 Na 0.5000 0.0000 0.0000  6 Hg 3.22-3.30, 2 In 3.48, 2 Na 3.51
5 Na 0.2109 0.9024 0.4219  4 Hg 3.11-3.26, 2 Na 3.39, 1 In 3.44
6 In 0.5651 0.3539 0.1303  3 Hg 3.07-3.09, 1 In 3.08, 2 Na 3.38
7 In 0.4349 0.6461 0.8697  3 Hg 3.07-3.09, 1 In 3.08, 2 Na 3.38
8 Hg 0.3118 0.2646 0.6237  1 Hg 3.07, 1 In 3.09, 6 Na 3.11-3.26
9 Hg 0.9443 0.8077 0.8886  2 In 3.07, 1 Hg 3.07, 5 Na 3.19-3.30
10 Hg 0.6882 0.7354 0.3763  1 Hg 3.07, 1 In 3.09, 6 Na 3.11-3.26
11 Hg 0.0557 0.1923 0.1114  2 In 3.07, 1 Hg 3.07, 5 Na 3.19-3.30

Computed properties:
energy of formation	-0.18	eV per atom
SG	C2/m, No. 12
D(E_F)	3.388	states/eV/cell

---

2.
A geometry-optimized Pd4PtAu4 structure, computed with PBE.

Cell: 4.0156 6.4095 6.4095 Å, 84.37 71.74 71.74°
Last column: nearest neighbours and their distance in Å.
Fractional coordinates of all 9 atoms:
1 Pd 0.6648 0.6703 0.0000  6 Au 2.83-2.89, 4 Pd 2.84-2.89, 2 Pt 2.84
2 Pd 0.3352 0.3297 0.0000  6 Au 2.83-2.89, 4 Pd 2.84-2.89, 2 Pt 2.84
3 Pd 0.6648 0.0000 0.6703  6 Au 2.83-2.89, 4 Pd 2.84-2.89, 2 Pt 2.84
4 Pd 0.3352 0.0000 0.3297  6 Au 2.83-2.89, 4 Pd 2.84-2.89, 2 Pt 2.84
5 Pt 0.0000 0.0000 0.0000  4 Au 2.83, 8 Pd 2.84
6 Au 0.6713 0.3288 0.3287  1 Pt 2.83, 6 Pd 2.83-2.89, 5 Au 2.89-2.95
7 Au 0.3287 0.6712 0.6713  1 Pt 2.83, 6 Pd 2.83-2.89, 5 Au 2.89-2.95
8 Au 0.0000 0.6713 0.3288  1 Pt 2.83, 6 Pd 2.83-2.89, 5 Au 2.89-2.95
9 Au 0.0000 0.3287 0.6712  1 Pt 2.83, 6 Pd 2.83-2.89, 5 Au 2.89-2.95

Computed properties:
energy of formation	-0.05	eV per atom
SG	I4/mmm, No. 139
D(E_F)	7.440	states/eV/cell